Record 1
A plane-wave DFT calculation with PBE was carried out for a relaxed Ag2PtW crystal.

The structure in POSCAR format:
```
Ag2PtW
1.0
5.0886 -0.0006 0.0047
4.3319 2.6698 0.0047
0.6238 0.1767 4.8476
Ag W Pt
2 1 1
direct
0.9983 0.9983 0.0029
0.5017 0.5017 0.4971
0.2500 0.2500 0.2500
0.7500 0.7500 0.7500
```

Calculated values
Its symmetry is C2/m. The calculation puts the formation energy at 0.284 eV per atom.

Record 2
A plane-wave DFT calculation with PBE was carried out for a relaxed La3SnN crystal.

The structure in POSCAR format:
```
La3SnN
1.0
0.0000 6.7563 6.7563
6.7563 0.0000 6.7563
6.7563 6.7563 0.0000
N Sn La
4 4 12
direct
0.1250 0.1250 0.1250
0.1250 0.6250 0.1250
0.6250 0.1250 0.1250
0.1250 0.1250 0.6250
0.6250 0.6250 0.6250
0.6250 0.1250 0.6250
0.1250 0.6250 0.6250
0.6250 0.6250 0.1250
0.8059 0.1941 0.1941
0.0559 0.4441 0.4441
0.4441 0.4441 0.0559
0.4441 0.0559 0.0559
0.0559 0.4441 0.0559
0.8059 0.1941 0.8059
0.4441 0.0559 0.4441
0.0559 0.0559 0.4441
0.1941 0.8059 0.1941
0.1941 0.8059 0.8059
0.1941 0.1941 0.8059
0.8059 0.8059 0.1941
```

Calculated values
Its symmetry is Fd-3m. The energy relative to the elements, uncorrected is -0.5434 eV per atom.

Record 3
A plane-wave DFT calculation with PBE was carried out for a relaxed TbInGaAg crystal.

The structure in POSCAR format:
```
TbInGaAg
1.0
-4.1561 2.7286 0.2155
-4.1946 -1.9924 1.7892
-1.7773 1.4829 4.4054
Tb Ga Ag In
1 1 1 1
direct
0.0000 0.0000 0.0000
0.7500 0.7500 0.7500
0.2500 0.2500 0.2500
0.5000 0.5000 0.5000
```

Calculated values
Its symmetry is F-43m. The calculation puts the formation energy at -0.347 eV per atom.

Record 4
A plane-wave DFT calculation with PBE was carried out for a relaxed Ta2V3Mo4 crystal.

The structure in POSCAR format:
```
Ta2V3Mo4
1.0
-0.1047 -4.4618 0.2267
2.7610 -2.6018 -5.8865
4.2491 -2.2321 2.0760
Ta V Mo
2 3 4
direct
0.3349 0.0034 0.3267
0.6651 0.9966 0.6733
0.3337 0.6630 0.6695
0.0000 0.0000 0.0000
0.6663 0.3370 0.3305
0.3320 0.3390 0.9969
0.6680 0.6610 0.0031
0.9970 0.3370 0.6691
0.0030 0.6630 0.3309
```

Calculated values
Its symmetry is C2/m. The calculation puts the formation energy at -0.083 eV per atom.